Crystalline Ca2PmPb3 at its relaxed geometry, computed with GGA-PBE.

a b c (Å): 3.593 3.593 13.872
angles (deg): 90.00 90.00 90.00
Positions (direct):
Pb 0.000 0.000 0.667
Ca 0.500 0.500 0.836
Ca 0.500 0.500 0.164
Pm 0.500 0.500 0.500
Pb 0.000 0.000 0.333
Pb 0.000 0.000 0.000

Properties
- DFT formation energy (eV/f.u.) = -3.106
- theoretical density (g/cm3) = 7.9
- polymorph energy (0 for the lowest one) (eV per atom) = 0.000